An optimized crystal structure of CrAu2Cl, computed with PBE.

Density   10.073 Mg/m³
DOS at the Fermi energy   0.19 states/eV/atom
Energy   -4.4120 eV per atom
Energy above the lowest structure with this stoichiometry   0.155 eV/atom
Raw formation energy   0.094 eV per atom

a b c (Å): 5.784 5.784 5.784
angles (deg): 150.27 123.32 65.31
Fractional positions:
Cr 0.000 0.000 0.000
Au 0.504 0.504 0.000
Au 0.776 0.276 0.500
Cl 0.180 0.680 0.500